The following is a GGA-PBE calculation of an optimized crystal structure of Ba2ScCd, from OQMD via LeMat-Bulk.

Lattice parameters (Å, degrees): 5.8193 5.8193 5.8193 60.00 60.00 60.00
Positions (direct):
Ba 0.0000 0.0000 0.0000
Ba 0.2500 0.2500 0.2500
Sc 0.5000 0.5000 0.5000
Cd 0.7500 0.7500 0.7500

Summary:
Magnetic moment: 0.281 μB/atom
Theoretical density: 5.148 g cm⁻³
E: -10.30 eV/cell